1.
# CsTlHg

A relaxed CsTlHg crystal (GGA-PBE, Alexandria via LeMat-Bulk).

E_form   -0.1712 eV per atom
Symmetry   No. 2
Size of the total moment   0.000 μB per formula unit
DOS(E_F)   1.60 states/eV/f.u.

Cell: 4.969 7.492 7.851 Å, 95.02 108.36 109.37°
Fractional positions:
Cs: 0.225 0.149 0.301
Cs: 0.775 0.851 0.699
Tl: 0.393 0.681 0.103
Tl: 0.607 0.319 0.897
Hg: 0.061 0.429 0.693
Hg: 0.939 0.571 0.307



2.
# Cs3Tl3Hg2

A relaxed Cs3Tl3Hg2 crystal (GGA-PBE, Alexandria via LeMat-Bulk).

E_form   -0.0922 eV per atom
Symmetry   No. 62
Size of the total moment   0.000 μB per formula unit
DOS(E_F)   7.14 states/eV/f.u.

Cell: 10.234 19.469 7.217 Å, 90.00 90.00 90.00°
Fractional positions:
Cs: 0.030 0.106 0.095
Cs: 0.030 0.394 0.095
Cs: 0.189 0.250 0.599
Cs: 0.311 0.750 0.099
Cs: 0.470 0.606 0.595
Cs: 0.470 0.894 0.595
Cs: 0.530 0.106 0.405
Cs: 0.530 0.394 0.405
Cs: 0.689 0.250 0.901
Cs: 0.811 0.750 0.401
Cs: 0.970 0.606 0.905
Cs: 0.970 0.894 0.905
Tl: 0.162 0.750 0.588
Tl: 0.169 0.038 0.579
Tl: 0.169 0.462 0.579
Tl: 0.331 0.538 0.079
Tl: 0.331 0.962 0.079
Tl: 0.338 0.250 0.088
Tl: 0.662 0.750 0.912
Tl: 0.669 0.038 0.921
Tl: 0.669 0.462 0.921
Tl: 0.831 0.538 0.421
Tl: 0.831 0.962 0.421
Tl: 0.838 0.250 0.412
Hg: 0.117 0.606 0.407
Hg: 0.117 0.894 0.407
Hg: 0.383 0.106 0.907
Hg: 0.383 0.394 0.907
Hg: 0.617 0.606 0.093
Hg: 0.617 0.894 0.093
Hg: 0.883 0.106 0.593
Hg: 0.883 0.394 0.593



3.
# Cs2TlHg6

A relaxed Cs2TlHg6 crystal (GGA-PBE, Alexandria via LeMat-Bulk).

E_form   -0.2145 eV per atom
Symmetry   No. 12
Size of the total moment   0.000 μB per formula unit
DOS(E_F)   3.23 states/eV/f.u.

Cell: 7.484 7.484 6.678 Å, 90.07 90.07 60.08°
Fractional positions:
Cs: 0.167 0.167 0.351
Cs: 0.833 0.833 0.649
Tl: 0.500 0.500 0.500
Hg: 0.137 0.682 0.156
Hg: 0.318 0.863 0.844
Hg: 0.320 0.320 0.845
Hg: 0.680 0.680 0.155
Hg: 0.682 0.137 0.156
Hg: 0.863 0.318 0.844



4.
# Cs2TlHg

A relaxed Cs2TlHg crystal (GGA-PBE, Alexandria via LeMat-Bulk).

E_form   0.0315 eV per atom
Symmetry   No. 122
Size of the total moment   0.000 μB per formula unit
DOS(E_F)   3.32 states/eV/f.u.

Cell: 8.349 8.349 8.349 Å, 102.87 102.87 123.68°
Fractional positions:
Cs: 0.106 0.625 0.981
Cs: 0.375 0.356 0.481
Cs: 0.644 0.125 0.019
Cs: 0.875 0.894 0.519
Tl: 0.250 0.750 0.500
Tl: 0.500 0.500 0.000
Hg: 0.000 0.000 0.000
Hg: 0.750 0.250 0.500



5.
# CsTlHg

A relaxed CsTlHg crystal (GGA-PBE, Alexandria via LeMat-Bulk).

E_form   -0.1057 eV per atom
Symmetry   No. 2
Size of the total moment   0.000 μB per formula unit
DOS(E_F)   2.04 states/eV/f.u.

Cell: 6.120 6.850 7.917 Å, 114.51 111.46 92.59°
Fractional positions:
Cs: 0.000 0.000 0.000
Cs: 0.500 0.500 0.000
Tl: 0.248 0.913 0.500
Tl: 0.752 0.087 0.500
Hg: 0.000 0.500 0.500
Hg: 0.500 0.500 0.500



6.
# Cs3Tl8Hg

A relaxed Cs3Tl8Hg crystal (GGA-PBE, Alexandria via LeMat-Bulk).

E_form   -0.0419 eV per atom
Symmetry   No. 156
Size of the total moment   0.000 μB per formula unit
DOS(E_F)   7.24 states/eV/f.u.

Cell: 7.009 7.009 10.706 Å, 90.00 90.00 120.00°
Fractional positions:
Cs: 0.000 0.000 0.000
Cs: 0.000 0.000 0.388
Cs: 0.667 0.333 0.527
Tl: 0.171 0.342 0.705
Tl: 0.171 0.829 0.705
Tl: 0.333 0.667 0.439
Tl: 0.333 0.667 0.955
Tl: 0.505 0.010 0.190
Tl: 0.505 0.495 0.190
Tl: 0.658 0.829 0.705
Tl: 0.990 0.495 0.190
Hg: 0.667 0.333 0.889



7.
# CsTl7Hg2

A relaxed CsTl7Hg2 crystal (GGA-PBE, Alexandria via LeMat-Bulk).

E_form   0.1163 eV per atom
Symmetry   No. 65
Size of the total moment   0.000 μB per formula unit
DOS(E_F)   5.72 states/eV/f.u.

Cell: 9.964 9.964 5.036 Å, 90.00 90.00 123.95°
Fractional positions:
Cs: 0.000 0.000 0.000
Tl: 0.033 0.340 0.500
Tl: 0.232 0.768 0.000
Tl: 0.340 0.033 0.500
Tl: 0.500 0.500 0.500
Tl: 0.660 0.967 0.500
Tl: 0.768 0.232 0.000
Tl: 0.967 0.660 0.500
Hg: 0.328 0.672 0.500
Hg: 0.672 0.328 0.500



8.
# Cs4Tl3Hg2

A relaxed Cs4Tl3Hg2 crystal (GGA-PBE, Alexandria via LeMat-Bulk).

E_form   -0.1191 eV per atom
Symmetry   No. 12
Size of the total moment   0.000 μB per formula unit
DOS(E_F)   5.43 states/eV/f.u.

Cell: 10.386 10.386 8.892 Å, 105.07 105.07 29.49°
Fractional positions:
Cs: 0.075 0.075 0.375
Cs: 0.262 0.262 0.802
Cs: 0.738 0.738 0.198
Cs: 0.925 0.925 0.625
Tl: 0.405 0.405 0.237
Tl: 0.500 0.500 0.000
Tl: 0.595 0.595 0.763
Hg: 0.093 0.093 0.950
Hg: 0.907 0.907 0.050



9.
# Cs3TlHg6

A relaxed Cs3TlHg6 crystal (GGA-PBE, Alexandria via LeMat-Bulk).

E_form   -0.2145 eV per atom
Symmetry   No. 160
Size of the total moment   0.000 μB per formula unit
DOS(E_F)   6.29 states/eV/f.u.

Cell: 8.843 8.843 8.843 Å, 113.81 113.81 113.81°
Fractional positions:
Cs: 0.000 0.500 0.500
Cs: 0.500 0.000 0.500
Cs: 0.500 0.500 0.000
Tl: 0.501 0.501 0.501
Hg: 0.068 0.068 0.338
Hg: 0.068 0.338 0.068
Hg: 0.338 0.068 0.068
Hg: 0.661 0.932 0.932
Hg: 0.932 0.661 0.932
Hg: 0.932 0.932 0.661



10.
# Cs2Tl15Hg2

A relaxed Cs2Tl15Hg2 crystal (GGA-PBE, Alexandria via LeMat-Bulk).

E_form   -0.0236 eV per atom
Symmetry   No. 166
Size of the total moment   0.000 μB per formula unit
DOS(E_F)   10.43 states/eV/f.u.

Cell: 8.745 8.745 8.745 Å, 82.59 82.59 82.59°
Fractional positions:
Cs: 0.164 0.164 0.164
Cs: 0.836 0.836 0.836
Tl: 0.000 0.500 0.500
Tl: 0.152 0.152 0.649
Tl: 0.152 0.649 0.152
Tl: 0.210 0.500 0.790
Tl: 0.210 0.790 0.500
Tl: 0.351 0.848 0.848
Tl: 0.500 0.000 0.500
Tl: 0.500 0.210 0.790
Tl: 0.500 0.500 0.000
Tl: 0.500 0.790 0.210
Tl: 0.649 0.152 0.152
Tl: 0.790 0.210 0.500
Tl: 0.790 0.500 0.210
Tl: 0.848 0.351 0.848
Tl: 0.848 0.848 0.351
Hg: 0.406 0.406 0.406
Hg: 0.594 0.594 0.594



11.
# Cs2TlHg3

A relaxed Cs2TlHg3 crystal (GGA-PBE, Alexandria via LeMat-Bulk).

E_form   -0.2107 eV per atom
Symmetry   No. 8
Size of the total moment   0.000 μB per formula unit
DOS(E_F)   4.28 states/eV/f.u.

Cell: 7.045 7.045 9.073 Å, 128.49 128.49 47.84°
Fractional positions:
Cs: 0.000 0.000 0.000
Cs: 0.124 0.124 0.629
Tl: 0.391 0.391 0.224
Hg: 0.402 0.402 0.585
Hg: 0.728 0.728 0.409
Hg: 0.740 0.740 0.070



12.
# Cs3Tl7Hg4

A relaxed Cs3Tl7Hg4 crystal (GGA-PBE, Alexandria via LeMat-Bulk).

E_form   -0.1055 eV per atom
Symmetry   No. 12
Size of the total moment   0.000 μB per formula unit
DOS(E_F)   6.69 states/eV/f.u.

Cell: 10.292 10.292 12.689 Å, 126.37 126.37 29.47°
Fractional positions:
Cs: 0.000 0.000 0.000
Cs: 0.295 0.295 0.296
Cs: 0.705 0.705 0.704
Tl: 0.000 0.000 0.500
Tl: 0.132 0.132 0.414
Tl: 0.320 0.320 0.988
Tl: 0.499 0.499 0.315
Tl: 0.501 0.501 0.685
Tl: 0.680 0.680 0.012
Tl: 0.868 0.868 0.586
Hg: 0.118 0.118 0.839
Hg: 0.332 0.332 0.687
Hg: 0.668 0.668 0.313
Hg: 0.882 0.882 0.161



13.
# CsTl3Hg

A relaxed CsTl3Hg crystal (GGA-PBE, Alexandria via LeMat-Bulk).

E_form   0.1251 eV per atom
Symmetry   No. 221
Size of the total moment   0.000 μB per formula unit
DOS(E_F)   4.87 states/eV/f.u.

Cell: 6.033 6.033 6.033 Å, 90.00 90.00 90.00°
Fractional positions:
Cs: 0.000 0.000 0.000
Tl: 0.000 0.500 0.500
Tl: 0.500 0.000 0.500
Tl: 0.500 0.500 0.000
Hg: 0.500 0.500 0.500



14.
# CsTlHg2

A relaxed CsTlHg2 crystal (GGA-PBE, Alexandria via LeMat-Bulk).

E_form   -0.1561 eV per atom
Symmetry   No. 166
Size of the total moment   0.000 μB per formula unit
DOS(E_F)   2.86 states/eV/f.u.

Cell: 7.201 7.201 7.201 Å, 44.00 44.00 44.00°
Fractional positions:
Cs: 0.000 0.000 0.000
Tl: 0.500 0.500 0.500
Hg: 0.206 0.206 0.206
Hg: 0.794 0.794 0.794



15.
# CsTlHg6

A relaxed CsTlHg6 crystal (GGA-PBE, Alexandria via LeMat-Bulk).

E_form   -0.1241 eV per atom
Symmetry   No. 25
Size of the total moment   0.000 μB per formula unit
DOS(E_F)   3.29 states/eV/f.u.

Cell: 5.393 7.601 6.445 Å, 90.00 90.00 90.00°
Fractional positions:
Cs: 0.000 0.000 0.000
Tl: 0.500 0.500 0.267
Hg: 0.000 0.284 0.485
Hg: 0.000 0.500 0.960
Hg: 0.000 0.716 0.485
Hg: 0.500 0.000 0.427
Hg: 0.500 0.293 0.773
Hg: 0.500 0.707 0.773



16.
# CsTl2Hg7

A relaxed CsTl2Hg7 crystal (GGA-PBE, Alexandria via LeMat-Bulk).

E_form   -0.0353 eV per atom
Symmetry   No. 65
Size of the total moment   0.000 μB per formula unit
DOS(E_F)   4.83 states/eV/f.u.

Cell: 12.649 12.649 3.913 Å, 90.00 90.00 147.19°
Fractional positions:
Cs: 0.000 0.000 0.000
Tl: 0.260 0.740 0.500
Tl: 0.740 0.260 0.500
Hg: 0.065 0.344 0.500
Hg: 0.344 0.065 0.500
Hg: 0.403 0.597 0.000
Hg: 0.500 0.500 0.500
Hg: 0.597 0.403 0.000
Hg: 0.656 0.935 0.500
Hg: 0.935 0.656 0.500



17.
# Cs2Tl6Hg3

A relaxed Cs2Tl6Hg3 crystal (GGA-PBE, Alexandria via LeMat-Bulk).

E_form   -0.1048 eV per atom
Symmetry   No. 189
Size of the total moment   0.000 μB per formula unit
DOS(E_F)   4.81 states/eV/f.u.

Cell: 9.633 9.633 5.103 Å, 90.00 90.00 120.00°
Fractional positions:
Cs: 0.333 0.667 0.000
Cs: 0.667 0.333 0.000
Tl: 0.000 0.246 0.500
Tl: 0.000 0.799 0.000
Tl: 0.201 0.201 0.000
Tl: 0.246 0.000 0.500
Tl: 0.754 0.754 0.500
Tl: 0.799 0.000 0.000
Hg: 0.000 0.581 0.500
Hg: 0.419 0.419 0.500
Hg: 0.581 0.000 0.500



18.
# CsTl5Hg6

A relaxed CsTl5Hg6 crystal (GGA-PBE, Alexandria via LeMat-Bulk).

E_form   -0.0518 eV per atom
Symmetry   No. 12
Size of the total moment   0.000 μB per formula unit
DOS(E_F)   5.02 states/eV/f.u.

Cell: 9.643 9.643 5.304 Å, 105.90 105.90 116.62°
Fractional positions:
Cs: 0.000 0.000 0.000
Tl: 0.164 0.836 0.500
Tl: 0.326 0.674 0.000
Tl: 0.500 0.500 0.500
Tl: 0.674 0.326 0.000
Tl: 0.836 0.164 0.500
Hg: 0.091 0.443 0.267
Hg: 0.286 0.286 0.786
Hg: 0.443 0.091 0.267
Hg: 0.557 0.909 0.733
Hg: 0.714 0.714 0.214
Hg: 0.909 0.557 0.733



19.
# Cs2TlHg4

A relaxed Cs2TlHg4 crystal (GGA-PBE, Alexandria via LeMat-Bulk).

E_form   -0.1240 eV per atom
Symmetry   No. 139
Size of the total moment   0.000 μB per formula unit
DOS(E_F)   2.77 states/eV/f.u.

Cell: 10.784 10.784 10.784 Å, 148.68 148.68 44.89°
Fractional positions:
Cs: 0.137 0.137 0.000
Cs: 0.863 0.863 0.000
Tl: 0.500 0.500 0.000
Hg: 0.000 0.500 0.500
Hg: 0.330 0.330 0.000
Hg: 0.500 0.000 0.500
Hg: 0.670 0.670 0.000



20.
# Cs2TlHg

A relaxed Cs2TlHg crystal (GGA-PBE, Alexandria via LeMat-Bulk).

E_form   -0.1077 eV per atom
Symmetry   No. 5
Size of the total moment   0.000 μB per formula unit
DOS(E_F)   4.20 states/eV/f.u.

Cell: 7.332 7.332 5.071 Å, 110.12 110.12 61.57°
Fractional positions:
Cs: 0.189 0.189 0.189
Cs: 0.811 0.811 0.811
Tl: 0.520 0.480 0.000
Hg: 0.304 0.696 0.500